TaNi2As: relaxed, PBE.

Cell lengths 2.851, 3.371, 5.752 Å; angles 90.00, 90.00, 90.00 degrees
Space group Pmm2 (No. 25)
Symmetry-distinct sites (fractional):
Ta1 0.000 0.000 0.000 x1
Ni1 0.000 0.000 0.526 x1
Ni2 0.500 0.500 0.752 x1
As1 0.500 0.500 0.321 x1

Calculated values
The energy comes out at -28.584 eV for the cell shown. The formation enthalpy at 0 K is -0.130 eV per atom.


Ta2NiAs: relaxed, PBE.

Cell lengths 3.406, 3.406, 5.511 Å; angles 90.00, 90.00, 90.00 degrees
Space group P4mm (No. 99)
Symmetry-distinct sites (fractional):
Ta1 0.000 0.000 0.000 x1
Ta2 0.500 0.500 0.286 x1
Ni1 0.500 0.500 0.781 x1
As1 0.000 0.000 0.520 x1

Calculated values
The energy comes out at -34.834 eV for the cell shown. The formation enthalpy at 0 K is -0.174 eV per atom.


Ta2NiAs: relaxed, PBE.

Cell lengths 2.9073, 2.9073, 26.3802 Å; angles 90.00, 90.00, 120.00 degrees
Space group R-3m (No. 166, hexagonal axes)
Symmetry-distinct sites (fractional):
Ta1 0.0000 0.0000 0.2466 x6
Ni1 0.0000 0.0000 0.5000 x3
As1 0.0000 0.0000 0.0000 x3

Calculated values
The energy comes out at -100.869 eV for the cell shown. The formation enthalpy at 0 K is 0.128 eV per atom.


Which formula does entry 1 have?
TaNi2As


What is the formula in the first record?
TaNi2As


Number 2 is which compound?
Ta2NiAs